(1)
Entry from Alexandria: a relaxed U2Ga5Ni3 crystal (GGA-PBE).

```
20
Lattice="-3.197 0.945 -2.637 0.453 -5.819 -2.633 -6.267 -4.713 9.337" Properties=species:S:1:pos:R:3 pbc="T T T"
Ga -4.654 -3.685 0.897
Ga -7.162 -7.068 2.726
Ga -4.933 -1.381 2.061
Ga -4.297 -5.403 3.274
Ga -2.794 -5.769 -2.104
U -7.265 -8.545 5.748
Ni -0.342 -6.123 -1.779
Ni -3.454 -3.118 3.071
U -1.734 -1.198 -1.752
Ga -1.851 -2.508 1.346
Ni -5.597 -5.970 1.221
Ga -6.061 -5.832 5.259
Ga -0.564 -3.816 -0.683
Ni -8.462 -6.135 4.637
U -6.686 -3.619 3.384
Ga -8.603 -3.784 5.649
U -2.351 -5.647 0.827
Ni -6.199 -3.450 6.280
Ni -3.023 -3.435 -0.991
Ga -4.210 -7.811 2.306
```

Results
- ΔH_f (0 K) (eV/f.u.) = -3.22
- space-group type = Cmc2_1 (36)
- calculated volume (Å³/atom) = 16.3
- density (g cm⁻³) = 10.172
- crystal system = orthorhombic



(2)
Entry from Alexandria: a relaxed CaGdRh2 crystal (GGA-PBE).

```
4
Lattice="-1.636 4.410 1.205 -0.496 1.212 4.676 3.010 3.244 2.000" Properties=species:S:1:pos:R:3 pbc="T T T"
Gd 0.658 6.650 5.911
Rh 0.439 4.433 3.941
Rh -1.635 4.410 1.205
Ca 0.220 2.217 1.970
```

Results
- ΔH_f (0 K) (eV/f.u.) = -2.37
- space-group type = Fm-3m (225)
- calculated volume (Å³/atom) = 20.2
- density (g cm⁻³) = 8.268
- crystal system = cubic